(1)
# CoRe3Ru | Alexandria | PBE | optimized geometry
# Energy relative to the lowest polymorph listed for this composition (meV/atom): 0.0
# DOS at the Fermi energy (states/eV/f.u.): 7.649
data_CoRe3Ru
_symmetry_space_group_name_H-M 'P m -3 m'
_symmetry_Int_Tables_number 221
_symmetry_space_group_name_Hall '-P 4 2 3'
_cell_length_a 4.3467
_cell_length_b 4.3467
_cell_length_c 4.3467
_cell_angle_alpha 90.00
_cell_angle_beta 90.00
_cell_angle_gamma 90.00
loop_
_atom_site_label
_atom_site_type_symbol
_atom_site_fract_x
_atom_site_fract_y
_atom_site_fract_z
_atom_site_occupancy
Co1 Co 0.0000 0.0000 0.0000 1
Re1 Re 0.0000 0.0000 0.5000 1
Ru1 Ru 0.5000 0.5000 0.5000 1

***

(2)
# Li2TlCdPb | Alexandria | PBE | optimized geometry
# Energy relative to the lowest polymorph listed for this composition (meV/atom): 406.8
# DOS at the Fermi energy (states/eV/f.u.): 2.725
data_Li2TlCdPb
_symmetry_space_group_name_H-M 'P 4/m m m'
_symmetry_Int_Tables_number 123
_symmetry_space_group_name_Hall '-P 4 2'
_cell_length_a 5.2054
_cell_length_b 5.2054
_cell_length_c 5.8293
_cell_angle_alpha 90.00
_cell_angle_beta 90.00
_cell_angle_gamma 90.00
loop_
_atom_site_label
_atom_site_type_symbol
_atom_site_fract_x
_atom_site_fract_y
_atom_site_fract_z
_atom_site_occupancy
Li1 Li 0.0000 0.5000 0.0000 1
Tl1 Tl 0.0000 0.0000 0.0000 1
Cd1 Cd 0.5000 0.5000 0.5000 1
Pb1 Pb 0.0000 0.0000 0.5000 1

***

(3)
# Ca2MgTe | Alexandria | PBE | optimized geometry
# E_form (uncorrected) (meV/atom): -473
# Energy relative to the lowest polymorph listed for this composition (meV/atom): 239.4
# DOS at the Fermi energy (states/eV/f.u.): 6.650
data_Ca2MgTe
_symmetry_space_group_name_H-M 'F m -3 m'
_symmetry_Int_Tables_number 225
_symmetry_space_group_name_Hall '-F 4 2 3'
_cell_length_a 7.9043
_cell_length_b 7.9043
_cell_length_c 7.9043
_cell_angle_alpha 90.00
_cell_angle_beta 90.00
_cell_angle_gamma 90.00
loop_
_atom_site_label
_atom_site_type_symbol
_atom_site_fract_x
_atom_site_fract_y
_atom_site_fract_z
_atom_site_occupancy
Ca1 Ca 0.2500 0.2500 0.2500 1
Mg1 Mg 0.0000 0.0000 0.0000 1
Te1 Te 0.0000 0.0000 0.5000 1

***

(4)
# Mn5Ni8Sn3 | Alexandria | PBE | optimized geometry
# Final energy (eV per atom): -6.631
# DOS at the Fermi energy (states/eV/f.u.): 12.140
data_Mn5Ni8Sn3
_symmetry_space_group_name_H-M 'R -3 m'
_symmetry_Int_Tables_number 166
_symmetry_space_group_name_Hall '-R 3 2"'
_cell_length_a 4.2346
_cell_length_b 4.2346
_cell_length_c 41.8423
_cell_angle_alpha 90.00
_cell_angle_beta 90.00
_cell_angle_gamma 120.00
loop_
_atom_site_label
_atom_site_type_symbol
_atom_site_fract_x
_atom_site_fract_y
_atom_site_fract_z
_atom_site_occupancy
Mn1 Mn 0.0000 0.0000 0.0000 1
Mn2 Mn 0.0000 0.0000 0.1244 1
Mn3 Mn 0.0000 0.0000 0.3736 1
Ni1 Ni 0.0000 0.0000 0.0597 1
Ni2 Ni 0.0000 0.0000 0.1882 1
Ni3 Ni 0.0000 0.0000 0.3146 1
Ni4 Ni 0.0000 0.0000 0.4377 1
Sn1 Sn 0.0000 0.0000 0.2512 1
Sn2 Sn 0.0000 0.0000 0.5000 1